(1)
# Ac5PmNd

A relaxed structure of Ac5PmNd (GGA-PBE, Alexandria via LeMat-Bulk).

**Crystal system**: tetragonal
**Energy of formation from the pure elements**: 0.23 eV per atom
**Total magnetization**: 0.00 μB per cell

Structure (POSCAR):
```
Ac5PmNd
1.0
5.6868 0.0000 0.0000
0.0000 5.6868 0.0000
0.0000 0.0000 9.5889
Pm Ac Nd
1 5 1
direct
0.0000 0.0000 0.5000
0.5000 0.0000 0.7212
0.0000 0.5000 0.7212
0.5000 0.5000 0.0000
0.0000 0.5000 0.2788
0.5000 0.0000 0.2788
0.0000 0.0000 0.0000
```

(2)
# TbPm2Tm3Se6

A relaxed structure of TbPm2Tm3Se6 (GGA-PBE, Alexandria via LeMat-Bulk).

**Raw formation energy**: -1.742 eV/atom
**Crystal system**: monoclinic
**Total magnetization**: 0.00 μB per cell

Structure (POSCAR):
```
TbPm2Tm3Se6
1.0
4.0494 0.0000 0.0000
0.0000 8.2729 0.1881
-2.0247 -2.4971 8.6111
Tm Pm Se Tb
3 2 6 1
direct
0.8312 0.1667 0.6624
0.5000 0.5000 0.0000
0.1688 0.8333 0.3376
0.8320 0.6646 0.6640
0.1680 0.3354 0.3360
0.6622 0.5928 0.3244
0.0041 0.7467 0.0083
0.6674 0.0720 0.3348
0.3378 0.4072 0.6756
0.9959 0.2533 0.9917
0.3326 0.9280 0.6652
0.5000 0.0000 0.0000
```

(3)
# Sm4TlAgHg2

A relaxed structure of Sm4TlAgHg2 (GGA-PBE, Alexandria via LeMat-Bulk).

**Crystal system**: trigonal
**Energy of formation from the pure elements**: -0.39 eV per atom
**Total magnetization**: 1.32 μB per cell

Structure (POSCAR):
```
Sm4TlAgHg2
1.0
-0.2137 2.8132 -4.5482
2.7803 -1.6151 -4.2788
-6.0166 -4.4081 -5.5930
Sm Hg Ag Tl
4 2 1 1
direct
0.3780 0.3780 0.8660
0.8723 0.8723 0.3830
0.1277 0.1277 0.6170
0.6220 0.6220 0.1340
0.7491 0.7491 0.7528
0.2509 0.2509 0.2472
0.5000 0.5000 0.5000
0.0000 0.0000 0.0000
```

(4)
# CdBi2IrO6

A relaxed structure of CdBi2IrO6 (GGA-PBE, Alexandria via LeMat-Bulk).

**Raw formation energy**: -0.987 eV/atom
**Crystal system**: trigonal
**Total magnetization**: 0.59 μB per cell

Structure (POSCAR):
```
CdBi2IrO6
1.0
-4.0705 -2.6511 -3.2504
0.5551 -5.6643 -1.3311
-3.6244 -3.9623 2.5152
O Ir Cd Bi
6 1 1 2
direct
0.1328 0.4352 0.7706
0.5870 0.1886 0.2451
0.6614 0.1328 0.7706
0.9793 0.5870 0.2450
0.1886 0.9793 0.2451
0.4352 0.6614 0.7706
0.3205 0.3205 0.0386
0.7996 0.7997 0.6010
0.0232 0.0232 0.9304
0.5339 0.5340 0.3982
```

Calculated DFT total energy in order - -28.43; -69.36; -27.81; -57.16 eV per formula unit